# TcH2S PBE optimized geometry
# * theoretical density: 5.0 g/cm³
# * V: 44 Å³/f.u.
# * relative energy among the computed polymorphs: 0.0 meV per atom
data_TcH2S
_chemical_formula_sum 'Tc4 H8 S4'
_symmetry_space_group_name_H-M 'I -4 2 d'
_symmetry_Int_Tables_number 122
_symmetry_space_group_name_Hall 'I -4 2bw'
_cell_length_a 6.281
_cell_length_b 6.281
_cell_length_c 4.422
_cell_angle_alpha 90.00
_cell_angle_beta 90.00
_cell_angle_gamma 90.00
loop_
_atom_site_label
_atom_site_fract_x
_atom_site_fract_y
_atom_site_fract_z
Tc1 0.000 0.000 0.000
H1 0.128 0.250 0.125
S1 0.000 0.000 0.500

# YCuW PBE optimized geometry
# * theoretical density: 10.0 g/cm³
# * energy relative to the elements: 2.0 eV/f.u.
# * V: 56 Å³/f.u.
# * relative energy among the computed polymorphs: 261.0 meV per atom
data_YCuW
_chemical_formula_sum 'Y1 Cu1 W1'
_symmetry_space_group_name_H-M 'P 3 m 1'
_symmetry_Int_Tables_number 156
_symmetry_space_group_name_Hall 'P 3 -2"'
_cell_length_a 2.9796
_cell_length_b 2.9796
_cell_length_c 7.2331
_cell_angle_alpha 90.00
_cell_angle_beta 90.00
_cell_angle_gamma 120.00
loop_
_atom_site_label
_atom_site_fract_x
_atom_site_fract_y
_atom_site_fract_z
Y1 0.0000 0.0000 0.0000
Cu1 0.6667 0.3333 0.3490
W1 0.3333 0.6667 0.6345

# Pr4Mg2Hg PBE optimized geometry
# * theoretical density: 5.9 g/cm³
# * energy relative to the elements: -0.4 eV/f.u.
# * V: 229 Å³/f.u.
data_Pr4Mg2Hg
_chemical_formula_sum 'Pr8 Mg4 Hg2'
_symmetry_space_group_name_H-M 'I 4/m m m'
_symmetry_Int_Tables_number 139
_symmetry_space_group_name_Hall '-I 4 2'
_cell_length_a 7.725
_cell_length_b 7.725
_cell_length_c 7.669
_cell_angle_alpha 90.00
_cell_angle_beta 90.00
_cell_angle_gamma 90.00
loop_
_atom_site_label
_atom_site_fract_x
_atom_site_fract_y
_atom_site_fract_z
Pr1 0.250 0.250 0.250
Mg1 0.000 0.500 0.000
Hg1 0.000 0.000 0.000

Which value of V does entry 3 give? 229 Å³/f.u.

Among the records above, which one has the lowest theoretical density? TcH2S

What did the second record say?
# YCuW PBE optimized geometry
# * theoretical density: 10.0 g/cm³
# * energy relative to the elements: 2.0 eV/f.u.
# * V: 56 Å³/f.u.
# * relative energy among the computed polymorphs: 261.0 meV per atom
data_YCuW
_chemical_formula_sum 'Y1 Cu1 W1'
_symmetry_space_group_name_H-M 'P 3 m 1'
_symmetry_Int_Tables_number 156
_symmetry_space_group_name_Hall 'P 3 -2"'
_cell_length_a 2.9796
_cell_length_b 2.9796
_cell_length_c 7.2331
_cell_angle_alpha 90.00
_cell_angle_beta 90.00
_cell_angle_gamma 120.00
loop_
_atom_site_label
_atom_site_fract_x
_atom_site_fract_y
_atom_site_fract_z
Y1 0.0000 0.0000 0.0000
Cu1 0.6667 0.3333 0.3490
W1 0.3333 0.6667 0.6345

Which value of theoretical density does entry 3 give? 5.9 g/cm³